K2GeBiSe4, relaxed, DFT PBE; raw formation energy = -0.616 eV per atom; E_tot = -3.695 eV per atom
1.0
9.454 0.000 0.000
0.000 8.664 0.000
0.000 0.000 7.628
K Ge Bi Se
4 2 2 8
Cartesian
2.346 1.627 0.000
2.381 7.037 3.814
7.072 7.037 3.814
7.108 1.627 0.000
0.000 2.907 3.833
4.727 5.757 0.019
0.000 5.795 0.005
4.727 2.869 3.819
0.000 3.417 6.287
0.000 5.121 2.761
2.124 1.668 3.342
2.603 6.996 7.156
4.727 3.543 6.575
4.727 5.247 2.473
6.850 6.996 7.156
7.330 1.668 3.342